1.
First-principles (PBE) data for a geometry-optimized Dy2Sc2CI3Br2 structure, as listed in the Open Quantum Materials Database.

Cell: 10.164 10.164 8.468 Å, 102.05 102.05 21.63°
Sites, in units of the cell vectors:
Br  0.148  0.148  0.300
Br  0.852  0.852  0.700
C  0.500  0.500  0.000
Dy  0.000  0.000  0.192
Dy  0.000  0.000  0.808
I  0.842  0.842  0.159
I  0.500  0.500  0.500
I  0.158  0.158  0.841
Sc  0.614  0.614  0.062
Sc  0.386  0.386  0.938

- Volume: 31.5 A^3/atom
- Electronic total energy: -51.22 eV/cell
- Magnetization: 0.31 μB per formula unit

2.
First-principles (PBE) data for a geometry-optimized Dy2Sc2CI3Br2 structure, as listed in the Open Quantum Materials Database.

Cell: 9.896 9.896 8.163 Å, 102.27 102.27 22.34°
Sites, in units of the cell vectors:
Br  0.853  0.853  0.184
Br  0.147  0.147  0.816
C  0.500  0.500  0.000
Dy  0.623  0.623  0.054
Dy  0.377  0.377  0.946
I  0.160  0.160  0.344
I  0.500  0.500  0.500
I  0.840  0.840  0.656
Sc  0.002  0.002  0.183
Sc  0.998  0.998  0.817

- Volume: 29.7 A^3/atom
- Electronic total energy: -50.74 eV/cell
- Magnetization: 0.12 μB per formula unit

3.
First-principles (PBE) data for a geometry-optimized Dy2Sc2CI3Br2 structure, as listed in the Open Quantum Materials Database.

Cell: 9.290 9.290 8.198 Å, 101.49 101.49 23.82°
Sites, in units of the cell vectors:
Br  0.153  0.153  0.327
Br  0.847  0.847  0.673
C  0.500  0.500  0.000
Dy  0.633  0.633  0.067
Dy  0.367  0.367  0.933
I  0.831  0.831  0.195
I  0.500  0.500  0.500
I  0.169  0.169  0.805
Sc  0.999  0.999  0.180
Sc  0.001  0.001  0.820

- Volume: 28.0 A^3/atom
- Electronic total energy: -50.87 eV/cell
- Magnetization: 0.03 μB per formula unit

4.
First-principles (PBE) data for a geometry-optimized Sm2Dy2CIBr4 structure, as listed in the Open Quantum Materials Database.

Cell: 9.221 9.221 8.694 Å, 102.84 102.84 24.50°
Sites, in units of the cell vectors:
Br  0.828  0.828  0.151
Br  0.167  0.167  0.315
Br  0.833  0.833  0.685
Br  0.172  0.172  0.849
C  0.500  0.500  0.000
Dy  0.637  0.637  0.068
Dy  0.363  0.363  0.932
I  0.500  0.500  0.500
Sm  0.999  0.999  0.194
Sm  0.001  0.001  0.806

- Volume: 29.8 A^3/atom
- Electronic total energy: -49.83 eV/cell
- Magnetization: 0.18 μB per formula unit

5.
First-principles (PBE) data for a geometry-optimized Sm2Dy2CI4Br structure, as listed in the Open Quantum Materials Database.

Cell: 9.776 9.776 8.454 Å, 102.18 102.18 23.31°
Sites, in units of the cell vectors:
Br  0.500  0.500  0.000
C  0.500  0.500  0.500
Dy  0.001  0.001  0.305
Dy  0.999  0.999  0.695
I  0.839  0.839  0.146
I  0.166  0.166  0.307
I  0.834  0.834  0.693
I  0.161  0.161  0.854
Sm  0.368  0.368  0.434
Sm  0.632  0.632  0.566

- Volume: 31.2 A^3/atom
- Electronic total energy: -47.25 eV/cell
- Magnetization: 0.00 μB per formula unit

6.
First-principles (PBE) data for a geometry-optimized Sm2Dy2CI3Br2 structure, as listed in the Open Quantum Materials Database.

Cell: 9.574 9.574 8.731 Å, 102.29 102.29 23.93°
Sites, in units of the cell vectors:
Br  0.834  0.834  0.153
Br  0.166  0.166  0.847
C  0.500  0.500  0.000
Dy  0.631  0.631  0.061
Dy  0.369  0.369  0.939
I  0.170  0.170  0.331
I  0.500  0.500  0.500
I  0.830  0.830  0.669
Sm  0.999  0.999  0.193
Sm  0.001  0.001  0.807

- Volume: 31.7 A^3/atom
- Electronic total energy: -48.21 eV/cell
- Magnetization: 0.33 μB per formula unit

7.
First-principles (PBE) data for a geometry-optimized Sm2Dy2CI4Br structure, as listed in the Open Quantum Materials Database.

Cell: 9.902 9.902 8.453 Å, 101.79 101.79 23.17°
Sites, in units of the cell vectors:
Br  0.500  0.500  0.000
C  0.500  0.500  0.500
Dy  0.373  0.373  0.437
Dy  0.627  0.627  0.563
I  0.836  0.836  0.159
I  0.168  0.168  0.322
I  0.832  0.832  0.678
I  0.164  0.164  0.841
Sm  0.001  0.001  0.298
Sm  0.999  0.999  0.702

- Volume: 31.9 A^3/atom
- Electronic total energy: -47.41 eV/cell
- Magnetization: 0.00 μB per formula unit

8.
First-principles (PBE) data for a geometry-optimized Sm2Dy2CI3Br2 structure, as listed in the Open Quantum Materials Database.

Cell: 9.456 9.456 8.571 Å, 102.66 102.66 24.11°
Sites, in units of the cell vectors:
Br  0.837  0.837  0.174
Br  0.163  0.163  0.826
C  0.500  0.500  0.000
Dy  0.000  0.000  0.190
Dy  0.000  0.000  0.810
I  0.167  0.167  0.350
I  0.500  0.500  0.500
I  0.833  0.833  0.650
Sm  0.637  0.637  0.064
Sm  0.363  0.363  0.936

- Volume: 30.5 A^3/atom
- Electronic total energy: -48.14 eV/cell
- Magnetization: 0.26 μB per formula unit